VASP calculation (PBE) on a geometry-optimized La2YZrRu structure.

Cell: 5.5117 5.5117 5.4102 Å, 90.00 90.00 90.00°
Positions (direct):
La (0.0000, 0.5000, 0.0000)
La (0.5000, 0.0000, 0.0000)
Y (0.0000, 0.0000, 0.5000)
Zr (0.0000, 0.0000, 0.0000)
Ru (0.5000, 0.5000, 0.5000)

Properties
Its symmetry is P4/mmm (123). The density of states at the Fermi level comes out at 9.6 states/eV/f.u. Its theoretical density is 5.648 g/cm3. Its formation energy is 1.1529 eV per atom.

=====

VASP calculation (PBE) on a geometry-optimized LaYZr2Ru structure.

Cell: 5.0477 5.0477 5.3858 Å, 90.00 90.00 90.00°
Positions (direct):
La (0.0000, 0.0000, 0.0000)
Y (0.0000, 0.0000, 0.5000)
Zr (0.0000, 0.5000, 0.0000)
Zr (0.5000, 0.0000, 0.0000)
Ru (0.5000, 0.5000, 0.5000)

Properties
Its symmetry is P4/mmm (123). The density of states at the Fermi level comes out at 6.4 states/eV/f.u. Its theoretical density is 6.187 g/cm3. Its formation energy is 1.6107 eV per atom.